[1]
Here is a relaxed Co2OF3 crystal from Alexandria via LeMat-Bulk. Energies are from GGA+U.

a b c (Å): 4.6649 5.5552 13.3148
angles (deg): 79.16 87.91 86.72
Atoms (fractional coordinates):
Co1 0.0000 0.0000 0.0000
Co2 0.9997 0.3922 0.8051
Co3 0.0397 0.7767 0.5926
Co4 0.4906 0.3010 0.6050
Co5 0.4951 0.4997 0.0037
Co6 0.4975 0.0958 0.2048
Co7 0.5072 0.6766 0.4044
Co8 0.5142 0.8841 0.7972
Co9 0.9884 0.6001 0.2078
Co10 0.9900 0.1856 0.4053
O1 0.2081 0.8523 0.4660
O2 0.2139 0.6974 0.0472
O3 0.2149 0.4811 0.6548
O4 0.7912 0.5108 0.3461
O5 0.8031 0.2902 0.9494
F1 0.1822 0.2695 0.2648
F2 0.2031 0.0610 0.8599
F3 0.3012 0.1841 0.0630
F4 0.3071 0.7709 0.2641
F5 0.3069 0.9689 0.6562
F6 0.3285 0.5588 0.8569
F7 0.3301 0.3547 0.4653
F8 0.6878 0.9983 0.3458
F9 0.6920 0.4212 0.1405
F10 0.7005 0.2111 0.7382
F11 0.7207 0.7969 0.9338
F12 0.7291 0.5923 0.5439
F13 0.8056 0.9223 0.1385
F14 0.8078 0.0900 0.5514
F15 0.8277 0.7191 0.7274

Computed properties:
The symmetry is P1 (1). The polymorph energy (0 for the lowest one) is 42 meV per atom. The magnetization is 0.2 μB per formula unit. The value obtained for the total energy is -154.4 eV for the cell shown.


[2]
Here is a relaxed Co2O3F crystal from Alexandria via LeMat-Bulk. Energies are from GGA+U.

a b c (Å): 4.3870 4.3870 11.8541
angles (deg): 90.00 90.00 92.68
Atoms (fractional coordinates):
Co1 0.0000 0.0000 0.0000
Co2 0.0000 0.0000 0.5000
Co3 0.0072 0.9928 0.7500
Co4 0.4737 0.5263 0.6245
Co5 0.4737 0.5263 0.8755
Co6 0.5263 0.4737 0.1245
Co7 0.5263 0.4737 0.3755
Co8 0.9928 0.0072 0.2500
O1 0.1912 0.8088 0.6234
O2 0.1912 0.8088 0.8766
O3 0.2858 0.3227 0.7500
O4 0.3071 0.3071 0.0000
O5 0.3071 0.3071 0.5000
O6 0.3227 0.2858 0.2500
O7 0.6773 0.7142 0.7500
O8 0.6929 0.6929 0.0000
O9 0.6929 0.6929 0.5000
O10 0.7142 0.6773 0.2500
O11 0.8088 0.1912 0.1234
O12 0.8088 0.1912 0.3766
F1 0.2179 0.7821 0.1282
F2 0.2179 0.7821 0.3718
F3 0.7821 0.2179 0.6282
F4 0.7821 0.2179 0.8718

Computed properties:
The symmetry is Cmcm (63). The polymorph energy (0 for the lowest one) is 9 meV per atom. The magnetization is 3.3 μB per formula unit. The value obtained for the total energy is -131.0 eV for the cell shown.


[3]
Here is a relaxed Co6O5F7 crystal from Alexandria via LeMat-Bulk. Energies are from GGA+U.

a b c (Å): 4.5663 5.5290 7.7062
angles (deg): 86.96 88.59 88.35
Atoms (fractional coordinates):
Co1 0.0000 0.0000 0.0000
Co2 0.0035 0.6344 0.3042
Co3 0.0167 0.3162 0.6372
Co4 0.5167 0.8193 0.6530
Co5 0.5421 0.1637 0.3281
Co6 0.5826 0.4909 0.9756
O1 0.3366 0.1138 0.5528
O2 0.7242 0.5368 0.7328
O3 0.7325 0.1962 0.1011
O4 0.8341 0.7165 0.0922
O5 0.8368 0.3550 0.4156
F1 0.2007 0.2860 0.8797
F2 0.2333 0.6163 0.5335
F3 0.2520 0.9579 0.2279
F4 0.3052 0.7953 0.8860
F5 0.3342 0.4627 0.2073
F6 0.7512 0.8562 0.4295
F7 0.8114 0.0269 0.7600

Computed properties:
The symmetry is P1 (1). The polymorph energy (0 for the lowest one) is 39 meV per atom. The magnetization is 17.0 μB per formula unit. The value obtained for the total energy is -94.2 eV for the cell shown.


[4]
Here is a relaxed Co3O4F2 crystal from Alexandria via LeMat-Bulk. Energies are from GGA+U.

a b c (Å): 5.4215 5.4503 6.7786
angles (deg): 74.97 74.48 77.11
Atoms (fractional coordinates):
Co1 0.0000 0.0000 0.0000
Co2 0.0000 0.0000 0.5000
Co3 0.2954 0.3746 0.1670
Co4 0.3233 0.3314 0.6714
Co5 0.6767 0.6686 0.3286
Co6 0.7046 0.6254 0.8330
O1 0.0177 0.6600 0.1637
O2 0.0922 0.1129 0.2018
O3 0.2178 0.2440 0.4618
O4 0.4313 0.4350 0.8725
O5 0.5687 0.5650 0.1275
O6 0.7822 0.7560 0.5382
O7 0.9078 0.8871 0.7982
O8 0.9823 0.3400 0.8363
F1 0.3197 0.7007 0.4910
F2 0.3725 0.9560 0.8341
F3 0.6275 0.0440 0.1659
F4 0.6803 0.2993 0.5090

Computed properties:
The symmetry is P-1 (2). The polymorph energy (0 for the lowest one) is 7 meV per atom. The magnetization is 8.0 μB per formula unit. The value obtained for the total energy is -97.3 eV for the cell shown.


[5]
Here is a relaxed Co2OF3 crystal from Alexandria via LeMat-Bulk. Energies are from GGA+U.

a b c (Å): 4.6650 5.6210 13.2106
angles (deg): 78.75 89.34 89.45
Atoms (fractional coordinates):
Co1 0.0000 0.0000 0.0000
Co2 0.0003 0.2007 0.3947
Co3 0.0520 0.4041 0.8152
Co4 0.4774 0.7084 0.3986
Co5 0.4799 0.1031 0.2054
Co6 0.5150 0.5150 0.0005
Co7 0.5259 0.9140 0.7903
Co8 0.5461 0.2971 0.5857
Co9 0.9684 0.6046 0.1884
Co10 0.9803 0.8122 0.6038
O1 0.2082 0.3269 0.9382
O2 0.2938 0.0321 0.3313
O3 0.6968 0.3811 0.4582
O4 0.7179 0.9905 0.6515
O5 0.8092 0.6938 0.0535
F1 0.1701 0.5309 0.3327
F2 0.2065 0.7250 0.7376
F3 0.2086 0.9317 0.1424
F4 0.2110 0.1082 0.5353
F5 0.2911 0.6212 0.5449
F6 0.3021 0.4043 0.1475
F7 0.3147 0.8344 0.9306
F8 0.3172 0.2388 0.7263
F9 0.6807 0.8068 0.2552
F10 0.6904 0.1797 0.0728
F11 0.7094 0.5878 0.8540
F12 0.7676 0.2782 0.2592
F13 0.8117 0.8713 0.4592
F14 0.8140 0.0982 0.8549
F15 0.8209 0.4833 0.6653

Computed properties:
The symmetry is P1 (1). The polymorph energy (0 for the lowest one) is 49 meV per atom. The magnetization is 1.6 μB per formula unit. The value obtained for the total energy is -154.2 eV for the cell shown.


[6]
Here is a relaxed Co2OF3 crystal from Alexandria via LeMat-Bulk. Energies are from GGA+U.

a b c (Å): 5.5577 5.5577 9.1068
angles (deg): 92.92 92.92 72.33
Atoms (fractional coordinates):
Co1 0.0000 0.0000 0.0000
Co2 0.1074 0.1074 0.6043
Co3 0.2563 0.2563 0.2373
Co4 0.3548 0.3548 0.8828
Co5 0.5000 0.5000 0.5000
Co6 0.6452 0.6452 0.1172
Co7 0.7437 0.7437 0.7627
Co8 0.8926 0.8926 0.3957
O1 0.2061 0.2061 0.0255
O2 0.2165 0.7835 0.5000
O3 0.7835 0.2165 0.5000
O4 0.7939 0.7939 0.9745
F1 0.0273 0.0273 0.2265
F2 0.0456 0.4329 0.7428
F3 0.2756 0.2756 0.4624
F4 0.3049 0.6951 0.0000
F5 0.4329 0.0456 0.7428
F6 0.4841 0.4841 0.2692
F7 0.5159 0.5159 0.7308
F8 0.5671 0.9544 0.2572
F9 0.6951 0.3049 0.0000
F10 0.7244 0.7244 0.5376
F11 0.9544 0.5671 0.2572
F12 0.9727 0.9727 0.7735

Computed properties:
The symmetry is C2/m (12). The polymorph energy (0 for the lowest one) is 39 meV per atom. The magnetization is 5.5 μB per formula unit. The value obtained for the total energy is -123.6 eV for the cell shown.


[7]
Here is a relaxed Co2OF crystal from Alexandria via LeMat-Bulk. Energies are from GGA+U.

a b c (Å): 5.7917 5.7917 5.7917
angles (deg): 131.78 131.78 70.57
Atoms (fractional coordinates):
Co1 0.0865 0.6250 0.9615
Co2 0.3750 0.3365 0.4615
Co3 0.6635 0.1250 0.0385
Co4 0.8750 0.9135 0.5385
O1 0.0000 0.0000 0.0000
O2 0.7500 0.2500 0.5000
F1 0.2500 0.7500 0.5000
F2 0.5000 0.5000 0.0000

Computed properties:
The symmetry is I-42d (122). The polymorph energy (0 for the lowest one) is 0 meV per atom. The magnetization is 5.1 μB per formula unit. The value obtained for the total energy is -41.5 eV for the cell shown.


[8]
Here is a relaxed CoO2F crystal from Alexandria via LeMat-Bulk. Energies are from GGA+U.

a b c (Å): 3.7116 3.7116 3.7116
angles (deg): 60.00 60.00 60.00
Atoms (fractional coordinates):
Co1 0.0000 0.0000 0.0000
O1 0.2500 0.2500 0.2500
O2 0.7500 0.7500 0.7500
F1 0.5000 0.5000 0.5000

Computed properties:
The symmetry is Fm-3m (225). The polymorph energy (0 for the lowest one) is 418 meV per atom. The magnetization is 0.0 μB per formula unit. The value obtained for the total energy is -16.0 eV for the cell shown.


[9]
Here is a relaxed Co6O5F7 crystal from Alexandria via LeMat-Bulk. Energies are from GGA+U.

a b c (Å): 4.6678 8.9340 4.6771
angles (deg): 90.00 96.03 90.00
Atoms (fractional coordinates):
Co1 0.0000 0.0000 0.0000
Co2 0.0244 0.3397 0.0232
Co3 0.0244 0.6603 0.0232
Co4 0.4949 0.1627 0.5020
Co5 0.4949 0.8373 0.5020
Co6 0.5510 0.5000 0.4158
O1 0.3096 0.0000 0.3086
O2 0.3244 0.3340 0.3045
O3 0.3244 0.6660 0.3045
O4 0.6868 0.0000 0.6920
O5 0.8503 0.5000 0.1899
F1 0.1955 0.1805 0.8200
F2 0.1955 0.8195 0.8200
F3 0.2034 0.5000 0.8317
F4 0.7119 0.3352 0.7071
F5 0.7119 0.6648 0.7071
F6 0.8280 0.1821 0.1981
F7 0.8280 0.8179 0.1981

Computed properties:
The symmetry is Pm (6). The polymorph energy (0 for the lowest one) is 40 meV per atom. The magnetization is 11.0 μB per formula unit. The value obtained for the total energy is -94.2 eV for the cell shown.


[10]
Here is a relaxed Co2O2F crystal from Alexandria via LeMat-Bulk. Energies are from GGA+U.

a b c (Å): 6.0410 6.0410 2.6309
angles (deg): 90.00 90.00 90.00
Atoms (fractional coordinates):
Co1 0.1607 0.3393 0.0000
Co2 0.3393 0.8393 0.0000
Co3 0.6607 0.1607 0.0000
Co4 0.8393 0.6607 0.0000
O1 0.1367 0.6367 0.5000
O2 0.3633 0.1367 0.5000
O3 0.6367 0.8633 0.5000
O4 0.8633 0.3633 0.5000
F1 0.0000 0.0000 0.5000
F2 0.5000 0.5000 0.5000

Computed properties:
The symmetry is P4/mbm (127). The magnetization is 5.0 μB per formula unit. The value obtained for the total energy is -49.9 eV for the cell shown.


[11]
Here is a relaxed Co2OF3 crystal from Alexandria via LeMat-Bulk. Energies are from GGA+U.

a b c (Å): 9.1539 4.6838 4.6838
angles (deg): 92.93 90.00 90.00
Atoms (fractional coordinates):
Co1 0.0000 0.0000 0.0000
Co2 0.1670 0.5265 0.5265
Co3 0.3329 0.9889 0.9889
Co4 0.5000 0.4551 0.4551
Co5 0.6671 0.9889 0.9889
Co6 0.8330 0.5265 0.5265
O1 0.1660 0.8202 0.8202
O2 0.5000 0.1578 0.1578
O3 0.8340 0.8202 0.8202
F1 0.0000 0.3205 0.7149
F2 0.0000 0.7149 0.3205
F3 0.1632 0.2067 0.2067
F4 0.3325 0.2867 0.6903
F5 0.3325 0.6903 0.2867
F6 0.5000 0.7717 0.7717
F7 0.6675 0.2867 0.6903
F8 0.6675 0.6903 0.2867
F9 0.8368 0.2067 0.2067

Computed properties:
The symmetry is Amm2 (38). The polymorph energy (0 for the lowest one) is 38 meV per atom. The magnetization is 5.0 μB per formula unit. The value obtained for the total energy is -92.7 eV for the cell shown.


[12]
Here is a relaxed Co6O5F7 crystal from Alexandria via LeMat-Bulk. Energies are from GGA+U.

a b c (Å): 5.4599 5.5530 7.0222
angles (deg): 74.37 73.81 72.49
Atoms (fractional coordinates):
Co1 0.0000 0.0000 0.0000
Co2 0.9997 0.0112 0.5037
Co3 0.3092 0.3733 0.1687
Co4 0.3112 0.3400 0.6688
Co5 0.6816 0.6176 0.8140
Co6 0.6908 0.6815 0.3380
O1 0.0246 0.6666 0.1688
O2 0.2190 0.2518 0.4657
O3 0.4163 0.4366 0.8703
O4 0.7822 0.7697 0.5335
O5 0.9687 0.3416 0.8315
F1 0.0872 0.1214 0.2005
F2 0.3196 0.7150 0.4915
F3 0.3755 0.9452 0.8398
F4 0.5793 0.5817 0.1344
F5 0.6222 0.0641 0.1643
F6 0.6801 0.3078 0.5083
F7 0.8995 0.8844 0.8039

Computed properties:
The symmetry is P1 (1). The polymorph energy (0 for the lowest one) is 29 meV per atom. The magnetization is 14.9 μB per formula unit. The value obtained for the total energy is -94.3 eV for the cell shown.


[13]
Here is a relaxed Co6O5F7 crystal from Alexandria via LeMat-Bulk. Energies are from GGA+U.

a b c (Å): 4.6781 4.6781 9.0973
angles (deg): 90.02 90.02 94.34
Atoms (fractional coordinates):
Co1 0.0000 0.0000 0.0000
Co2 0.0288 0.9700 0.3426
Co3 0.0300 0.9712 0.6574
Co4 0.4995 0.4274 0.1601
Co5 0.5268 0.4732 0.5000
Co6 0.5726 0.5005 0.8399
O1 0.2046 0.1577 0.1792
O2 0.2190 0.1606 0.4990
O3 0.7102 0.2898 0.0000
O4 0.8394 0.7810 0.5010
O5 0.8423 0.7954 0.8208
F1 0.2370 0.1867 0.8182
F2 0.3275 0.6725 0.0000
F3 0.3288 0.6595 0.3320
F4 0.3405 0.6712 0.6680
F5 0.7154 0.2679 0.3332
F6 0.7321 0.2846 0.6668
F7 0.8133 0.7630 0.1818

Computed properties:
The symmetry is C2 (5). The polymorph energy (0 for the lowest one) is 14 meV per atom. The magnetization is 18.7 μB per formula unit. The value obtained for the total energy is -94.6 eV for the cell shown.


[14]
Here is a relaxed Co3O5F crystal from Alexandria via LeMat-Bulk. Energies are from GGA+U.

a b c (Å): 4.3530 2.9551 13.0110
angles (deg): 90.00 92.04 90.00
Atoms (fractional coordinates):
Co1 0.0000 0.0000 0.0000
Co2 0.0205 0.0000 0.6593
Co3 0.4761 0.5000 0.8405
Co4 0.5000 0.5000 0.5000
Co5 0.5239 0.5000 0.1595
Co6 0.9795 0.0000 0.3407
O1 0.1841 0.5000 0.9337
O2 0.2029 0.5000 0.5981
O3 0.2977 0.0000 0.7694
O4 0.3067 0.0000 0.4332
O5 0.3182 0.0000 0.0976
O6 0.6818 0.0000 0.9024
O7 0.6933 0.0000 0.5668
O8 0.7023 0.0000 0.2306
O9 0.7971 0.5000 0.4019
O10 0.8159 0.5000 0.0663
F1 0.2042 0.5000 0.2649
F2 0.7958 0.5000 0.7351

Computed properties:
The symmetry is P2/m (10). The polymorph energy (0 for the lowest one) is 8 meV per atom. The magnetization is 4.3 μB per formula unit. The value obtained for the total energy is -99.5 eV for the cell shown.


[15]
Here is a relaxed Co4OF11 crystal from Alexandria via LeMat-Bulk. Energies are from GGA+U.

a b c (Å): 4.9084 5.2302 7.2003
angles (deg): 86.18 89.65 89.34
Atoms (fractional coordinates):
Co1 0.0000 0.0000 0.0000
Co2 0.0027 0.9964 0.4996
Co3 0.4989 0.5004 0.0000
Co4 0.5183 0.4687 0.5058
O1 0.6982 0.1888 0.5552
F1 0.1322 0.0044 0.7584
F2 0.1900 0.3199 0.4386
F3 0.1920 0.6920 0.0686
F4 0.3060 0.1948 0.0671
F5 0.3106 0.8093 0.4461
F6 0.3721 0.5040 0.7551
F7 0.6271 0.4993 0.2440
F8 0.6929 0.8059 0.9329
F9 0.8044 0.3066 0.9294
F10 0.8077 0.6820 0.5614
F11 0.8692 0.9957 0.2424

Computed properties:
The symmetry is P1 (1). The polymorph energy (0 for the lowest one) is 0 meV per atom. The magnetization is 1.1 μB per formula unit. The value obtained for the total energy is -72.2 eV for the cell shown.


[16]
Here is a relaxed Co2OF3 crystal from Alexandria via LeMat-Bulk. Energies are from GGA+U.

a b c (Å): 4.6674 4.6674 6.1204
angles (deg): 90.00 90.00 87.39
Atoms (fractional coordinates):
Co1 0.0000 0.0000 0.0000
Co2 0.0000 0.0000 0.5000
Co3 0.4665 0.5335 0.7500
Co4 0.5335 0.4665 0.2500
O1 0.1699 0.8301 0.7500
O2 0.8301 0.1699 0.2500
F1 0.2156 0.7844 0.2500
F2 0.2978 0.2978 0.0000
F3 0.2978 0.2978 0.5000
F4 0.7022 0.7022 0.0000
F5 0.7022 0.7022 0.5000
F6 0.7844 0.2156 0.7500

Computed properties:
The symmetry is Cmcm (63). The polymorph energy (0 for the lowest one) is 32 meV per atom. The magnetization is 5.0 μB per formula unit. The value obtained for the total energy is -61.9 eV for the cell shown.


[17]
Here is a relaxed Co2O2F crystal from Alexandria via LeMat-Bulk. Energies are from GGA+U.

a b c (Å): 4.7400 4.7400 4.7400
angles (deg): 132.66 132.66 69.18
Atoms (fractional coordinates):
Co1 0.2500 0.7500 0.5000
Co2 0.7500 0.2500 0.5000
O1 0.1766 0.1766 0.0000
O2 0.8234 0.8234 0.0000
F1 0.5000 0.5000 0.0000

Computed properties:
The symmetry is I4/mmm (139). The magnetization is 5.5 μB per formula unit. The value obtained for the total energy is -26.2 eV for the cell shown.